<A>
A plane-wave DFT calculation with PBE was carried out for a relaxed structure of Ti3SnP.

Results
Density of states at the Fermi level (states/eV per atom): 0.736
SG: No. 12
Crystal system: monoclinic

```
data_Ti3SnP
_chemical_formula_sum 'Ti6 Sn2 P2'
_space_group_name_H-M_alt 'P 1'
_space_group_IT_number 1
_space_group_name_Hall 'P 1'
_cell_length_a 6.4315
_cell_length_b 6.4315
_cell_length_c 6.8628
_cell_angle_alpha 96.65
_cell_angle_beta 96.65
_cell_angle_gamma 43.05
loop_
_atom_site_label
_atom_site_fract_x
_atom_site_fract_y
_atom_site_fract_z
Ti1 0.0356 0.0356 0.2984
Ti2 0.1645 0.1645 0.9725
Ti3 0.2848 0.2848 0.3520
Ti4 0.7152 0.7152 0.6480
Ti5 0.8355 0.8355 0.0275
Ti6 0.9644 0.9644 0.7016
Sn1 0.3798 0.3798 0.8304
Sn2 0.6202 0.6202 0.1696
P1 0.1525 0.1525 0.6105
P2 0.8475 0.8475 0.3895
```

***

<B>
A plane-wave DFT calculation with PBE was carried out for a relaxed structure of Ti3SnP.

Results
Density of states at the Fermi level (states/eV per atom): 1.144
SG: No. 221
Crystal system: cubic

```
data_Ti3SnP
_chemical_formula_sum 'Ti3 Sn1 P1'
_space_group_name_H-M_alt 'P 1'
_space_group_IT_number 1
_space_group_name_Hall 'P 1'
_cell_length_a 5.0474
_cell_length_b 5.0474
_cell_length_c 5.0474
_cell_angle_alpha 90.00
_cell_angle_beta 90.00
_cell_angle_gamma 90.00
loop_
_atom_site_label
_atom_site_fract_x
_atom_site_fract_y
_atom_site_fract_z
Ti1 0.0000 0.0000 0.5000
Ti2 0.0000 0.5000 0.0000
Ti3 0.5000 0.0000 0.0000
Sn1 0.0000 0.0000 0.0000
P1 0.5000 0.5000 0.5000
```

***

Energy above the most stable structure, in eV/atom: <A> 0.000; <B> 1.525